Entry 1:
Computed, not measured: an optimized crystal structure of MgZrCu2 at the PBE level of DFT.

abc: 10.0773 2.9443 4.7598
angles: 90.00 107.86 90.00
Sites, in units of the cell vectors:
Mg 0.0000 0.0000 0.0000
Mg 0.5000 0.5000 0.0000
Zr 0.2114 0.0000 0.6469
Zr 0.7114 0.5000 0.6469
Cu 0.2572 0.5000 0.1711
Cu 0.4565 0.0000 0.4637
Cu 0.7572 0.0000 0.1711
Cu 0.9565 0.5000 0.4637

Calculated values
DOS(E_F) in states/eV per atom: 0.66
VASP energy in eV/atom: -4.604

=====

Entry 2:
Computed, not measured: an optimized crystal structure of ZrRu2Pt at the PBE level of DFT.

abc: 6.4165 6.4165 6.4165
angles: 90.00 90.00 90.00
Sites, in units of the cell vectors:
Zr 0.0000 0.0000 0.0000
Zr 0.0000 0.5000 0.5000
Zr 0.5000 0.0000 0.5000
Zr 0.5000 0.5000 0.0000
Ru 0.0000 0.0000 0.5000
Ru 0.0000 0.5000 0.0000
Ru 0.2500 0.2500 0.2500
Ru 0.2500 0.7500 0.7500
Ru 0.5000 0.0000 0.0000
Ru 0.5000 0.5000 0.5000
Ru 0.7500 0.2500 0.7500
Ru 0.7500 0.7500 0.2500
Pt 0.2500 0.2500 0.7500
Pt 0.2500 0.7500 0.2500
Pt 0.7500 0.2500 0.2500
Pt 0.7500 0.7500 0.7500

Calculated values
DOS(E_F) in states/eV per atom: 1.89
VASP energy in eV/atom: -8.400

=====

Entry 3:
Computed, not measured: an optimized crystal structure of Nd2HoSn2Hg2 at the PBE level of DFT.

abc: 9.5766 9.5766 9.5766
angles: 30.32 30.32 30.32
Sites, in units of the cell vectors:
Nd 0.1292 0.1292 0.1292
Nd 0.8708 0.8708 0.8708
Ho 0.0000 0.0000 0.0000
Sn 0.2750 0.2750 0.2750
Sn 0.7250 0.7250 0.7250
Hg 0.4253 0.4253 0.4253
Hg 0.5747 0.5747 0.5747

Calculated values
DOS(E_F) in states/eV per atom: 0.80
VASP energy in eV/atom: -3.566

=====

> Look up the DOS(E_F) of the second one.

1.89 states/eV per atom